No. 1
Computed, not measured: a geometry-optimized Fe2RhW structure at the GGA-PBE level of DFT.

Cell lengths 4.6022, 4.6022, 4.6479 Å; angles 80.29, 80.29, 34.01 degrees
Last column: nearest neighbours and their distance in Å.
Positions (direct):
Fe 0.5044 0.5044 0.4978  3 Rh 2.63-2.69, 3 W 2.63-2.70, 6 Fe 2.68-2.69
Rh 0.2500 0.2500 0.2500  6 Fe 2.63-2.69, 4 W 2.69, 2 Rh 2.69
W 0.7500 0.7500 0.7500  6 Fe 2.63-2.70, 4 Rh 2.69, 2 W 2.69
Fe 0.9956 0.9956 0.0022  3 Rh 2.63-2.69, 3 W 2.63-2.70, 6 Fe 2.68-2.69

Properties
- Magnetization: 4.44 μB per cell
- Energy above the most stable polymorph in this dataset: 109 meV per atom
- Volume: 13.55 A^3/atom

No. 2
Computed, not measured: a geometry-optimized CaGe2PdAu structure at the GGA-PBE level of DFT.

Cell lengths 4.4470, 4.4470, 5.9929 Å; angles 111.78, 111.78, 90.00 degrees
Last column: nearest neighbours and their distance in Å.
Positions (direct):
Ge 0.3778 0.3778 0.7556  1 Ge 2.49, 2 Au 2.58, 2 Pd 2.58
Au 0.2500 0.7500 0.5000  4 Ge 2.58
Pd 0.7500 0.2500 0.5000  4 Ge 2.58
Ge 0.6222 0.6222 0.2444  1 Ge 2.49, 2 Pd 2.58, 2 Au 2.58
Ca 0.0000 0.0000 0.0000  8 Ge 3.38, 4 Pd 3.38, 4 Au 3.38

Properties
- Magnetization: 0.00 μB per cell
- VASP energy: -4.509 eV per atom
- Volume: 20.18 A^3/atom